Record 1
DFT (PBE) results for a geometry-optimized PrAlPd2 structure.

a b c (Å): 7.5527 7.1219 5.9098
angles (deg): 90.00 90.00 90.00
Positions (direct):
Pr  0.0317  0.2500  0.1518
Pr  0.4683  0.7500  0.6518
Pr  0.5317  0.2500  0.3482
Pr  0.9683  0.7500  0.8482
Al  0.1185  0.7500  0.3479
Al  0.3815  0.2500  0.8479
Al  0.6185  0.7500  0.1521
Al  0.8815  0.2500  0.6521
Pd  0.1769  0.0533  0.5884
Pd  0.1769  0.4467  0.5884
Pd  0.3231  0.5533  0.0884
Pd  0.3231  0.9467  0.0884
Pd  0.6769  0.0533  0.9116
Pd  0.6769  0.4467  0.9116
Pd  0.8231  0.5533  0.4116
Pd  0.8231  0.9467  0.4116

Summary:
N(E_F) = 0.5097 states/eV per atom
Energy relative to the elements = -0.86 eV per atom
Electronic total energy = -89.41 eV/cell

---

Record 2
DFT (PBE) results for a geometry-optimized PrPuSi structure.

a b c (Å): 4.9787 4.9787 4.9787
angles (deg): 60.00 60.00 60.00
Positions (direct):
Pr  0.0000  0.0000  0.0000
Pu  0.5000  0.5000  0.5000
Si  0.7500  0.7500  0.7500

Summary:
Uncorrected formation energy = -0.5 eV/f.u.
Relative energy among the computed polymorphs = 0.0 kJ/mol of atoms
N(E_F) = 2.8722 states/eV per atom
Electronic total energy = -25.03 eV/cell

---

Record 3
DFT (PBE) results for a geometry-optimized Dy2Ni3Sn2 structure.

a b c (Å): 7.2003 7.2003 7.2003
angles (deg): 109.47 109.47 109.47
Positions (direct):
Dy  0.0000  0.0048  0.5000
Dy  0.0048  0.5000  0.0000
Dy  0.4952  0.4952  0.4952
Dy  0.5000  0.0000  0.0048
Ni  0.0354  0.2500  0.2854
Ni  0.2146  0.4646  0.7500
Ni  0.2500  0.2854  0.0354
Ni  0.2854  0.0354  0.2500
Ni  0.4646  0.7500  0.2146
Ni  0.7500  0.2146  0.4646
Sn  0.0000  0.5814  0.5000
Sn  0.5000  0.0000  0.5814
Sn  0.5814  0.5000  0.0000
Sn  0.9186  0.9186  0.9186

Summary:
N(E_F) = 0.6566 states/eV per atom
Energy relative to the elements = -0.39 eV per atom
Electronic total energy = -74.61 eV/cell

---

What did the first record say?
DFT (PBE) results for a geometry-optimized PrAlPd2 structure.

a b c (Å): 7.5527 7.1219 5.9098
angles (deg): 90.00 90.00 90.00
Positions (direct):
Pr  0.0317  0.2500  0.1518
Pr  0.4683  0.7500  0.6518
Pr  0.5317  0.2500  0.3482
Pr  0.9683  0.7500  0.8482
Al  0.1185  0.7500  0.3479
Al  0.3815  0.2500  0.8479
Al  0.6185  0.7500  0.1521
Al  0.8815  0.2500  0.6521
Pd  0.1769  0.0533  0.5884
Pd  0.1769  0.4467  0.5884
Pd  0.3231  0.5533  0.0884
Pd  0.3231  0.9467  0.0884
Pd  0.6769  0.0533  0.9116
Pd  0.6769  0.4467  0.9116
Pd  0.8231  0.5533  0.4116
Pd  0.8231  0.9467  0.4116

Summary:
N(E_F) = 0.5097 states/eV per atom
Energy relative to the elements = -0.86 eV per atom
Electronic total energy = -89.41 eV/cell

---

Q: The lowest electronic total energy belongs to which entry?
A: PrAlPd2